Entry 1:
The following is a PBE-GGA calculation of an optimized crystal structure of LaY8Th2, from the Alexandria database.

Properties
formation energy: 93 meV/atom
magnetization: 0.00 μB/atom
energy above the lowest structure with this stoichiometry: 0.0 kJ per mole of atoms
DFT total energy: -6.405 eV per atom

Cell lengths 6.038, 8.548, 8.635 Å; angles 104.35, 109.46, 108.68 degrees
Fractional positions:
La (0.500, 0.000, 0.000)
Y (0.275, 0.359, 0.267)
Y (0.882, 0.091, 0.794)
Y (0.759, 0.462, 0.089)
Y (0.803, 0.275, 0.462)
Y (0.197, 0.725, 0.538)
Y (0.241, 0.538, 0.911)
Y (0.118, 0.909, 0.206)
Y (0.725, 0.641, 0.733)
Th (0.667, 0.810, 0.363)
Th (0.333, 0.190, 0.637)

Entry 2:
The following is a PBE-GGA calculation of an optimized crystal structure of LaYThZr, from the Alexandria database.

Properties
formation energy: 164 meV/atom
magnetization: 0.00 μB/atom
DFT total energy: -6.676 eV per atom

Cell lengths 5.553, 5.553, 5.553 Å; angles 60.00, 60.00, 60.00 degrees
Fractional positions:
Y (0.750, 0.750, 0.750)
Zr (0.250, 0.250, 0.250)
Th (0.500, 0.500, 0.500)
La (0.000, 0.000, 0.000)

Entry 3:
The following is a PBE-GGA calculation of an optimized crystal structure of La2ThZn, from the Alexandria database.

Properties
formation energy: 12 meV/atom
magnetization: 0.00 μB/atom
energy above the lowest structure with this stoichiometry: 15.2 kJ per mole of atoms
DFT total energy: -4.625 eV per atom

Cell lengths 3.675, 3.675, 10.960 Å; angles 80.27, 80.27, 59.96 degrees
Fractional positions:
La (0.074, 0.074, 0.777)
La (0.259, 0.259, 0.223)
Th (0.500, 0.500, 0.500)
Zn (0.667, 0.667, 0.000)

Entry 4:
The following is a PBE-GGA calculation of an optimized crystal structure of La3ThZn2, from the Alexandria database.

Properties
formation energy: -199 meV/atom
magnetization: 0.00 μB/atom
DFT total energy: -4.324 eV per atom

Cell lengths 3.693, 3.693, 12.708 Å; angles 90.00, 90.00, 90.00 degrees
Fractional positions:
La (0.000, 0.000, 0.000)
La (0.000, 0.000, 0.694)
La (0.000, 0.000, 0.306)
Th (0.500, 0.500, 0.500)
Zn (0.500, 0.500, 0.848)
Zn (0.500, 0.500, 0.152)

Entry 5:
The following is a PBE-GGA calculation of an optimized crystal structure of La3ThZn4, from the Alexandria database.

Properties
formation energy: -275 meV/atom
magnetization: 0.00 μB/atom
DFT total energy: -3.687 eV per atom

Cell lengths 3.733, 3.733, 14.966 Å; angles 90.00, 90.00, 90.00 degrees
Fractional positions:
Zn (0.000, 0.000, 0.882)
Zn (0.000, 0.000, 0.118)
Zn (0.000, 0.000, 0.374)
Zn (0.000, 0.000, 0.626)
Th (0.500, 0.500, 0.000)
La (0.500, 0.500, 0.246)
La (0.500, 0.500, 0.500)
La (0.500, 0.500, 0.754)

Entry 6:
The following is a PBE-GGA calculation of an optimized crystal structure of LaThZn, from the Alexandria database.

Properties
formation energy: -112 meV/atom
magnetization: 0.00 μB/atom
energy above the lowest structure with this stoichiometry: 0.0 kJ per mole of atoms
DFT total energy: -4.652 eV per atom

Cell lengths 3.728, 3.728, 6.760 Å; angles 106.01, 106.01, 90.00 degrees
Fractional positions:
Zn (0.671, 0.671, 0.342)
Th (0.312, 0.312, 0.624)
La (0.017, 0.017, 0.033)

Entry 7:
The following is a PBE-GGA calculation of an optimized crystal structure of LaTh3Zn4, from the Alexandria database.

Properties
formation energy: -206 meV/atom
magnetization: 0.00 μB/atom
DFT total energy: -4.242 eV per atom

Cell lengths 3.674, 5.220, 10.439 Å; angles 90.00, 90.00, 90.00 degrees
Fractional positions:
Zn (0.000, 0.000, 0.500)
Zn (0.000, 0.500, 0.748)
Zn (0.000, 0.000, 0.000)
Zn (0.000, 0.500, 0.252)
Th (0.500, 0.000, 0.252)
Th (0.500, 0.500, 0.500)
Th (0.500, 0.000, 0.748)
La (0.500, 0.500, 0.000)

Entry 8:
The following is a PBE-GGA calculation of an optimized crystal structure of LaThZn, from the Alexandria database.

Properties
formation energy: 18 meV/atom
magnetization: 0.00 μB/atom
energy above the lowest structure with this stoichiometry: 12.5 kJ per mole of atoms
DFT total energy: -4.523 eV per atom

Cell lengths 3.771, 5.032, 5.032 Å; angles 120.00, 90.00, 90.00 degrees
Fractional positions:
Zn (0.309, 0.333, 0.667)
Th (0.039, 0.000, 0.000)
La (0.652, 0.667, 0.333)

Entry 9:
The following is a PBE-GGA calculation of an optimized crystal structure of LaTh2Zn6, from the Alexandria database.

Properties
formation energy: -297 meV/atom
magnetization: 0.00 μB/atom
DFT total energy: -3.343 eV per atom

Cell lengths 3.557, 8.002, 8.002 Å; angles 120.00, 90.01, 90.00 degrees
Fractional positions:
La (0.000, 0.000, 0.000)
Th (0.000, 0.333, 0.667)
Th (0.000, 0.667, 0.333)
Zn (0.500, 0.335, 0.335)
Zn (0.500, 0.665, 0.665)
Zn (0.500, 0.000, 0.665)
Zn (0.500, 0.665, 0.000)
Zn (0.500, 0.335, 0.000)
Zn (0.500, 0.000, 0.335)

Entry 10:
The following is a PBE-GGA calculation of an optimized crystal structure of La3Th2Zn3, from the Alexandria database.

Properties
formation energy: -178 meV/atom
magnetization: 0.00 μB/atom
DFT total energy: -4.359 eV per atom

Cell lengths 3.710, 5.513, 11.627 Å; angles 103.71, 99.18, 90.00 degrees
Fractional positions:
La (0.380, 0.380, 0.761)
La (0.620, 0.620, 0.239)
La (0.500, 0.000, 0.000)
Th (0.269, 0.769, 0.537)
Th (0.731, 0.231, 0.463)
Zn (0.884, 0.884, 0.767)
Zn (0.000, 0.500, 0.000)
Zn (0.116, 0.116, 0.233)

Entry 11:
The following is a PBE-GGA calculation of an optimized crystal structure of La2ThZn, from the Alexandria database.

Properties
formation energy: -146 meV/atom
magnetization: 0.00 μB/atom
energy above the lowest structure with this stoichiometry: 0.0 kJ per mole of atoms
DFT total energy: -4.783 eV per atom

Cell lengths 3.686, 3.686, 8.870 Å; angles 90.00, 90.00, 90.00 degrees
Fractional positions:
Zn (0.500, 0.500, 0.000)
Th (0.500, 0.500, 0.500)
La (0.000, 0.000, 0.779)
La (0.000, 0.000, 0.221)

Entry 12:
The following is a PBE-GGA calculation of an optimized crystal structure of La2ThZn, from the Alexandria database.

Properties
formation energy: 163 meV/atom
magnetization: 0.00 μB/atom
energy above the lowest structure with this stoichiometry: 29.8 kJ per mole of atoms
DFT total energy: -4.475 eV per atom

Cell lengths 3.493, 3.493, 11.963 Å; angles 81.61, 81.61, 60.00 degrees
Fractional positions:
Zn (0.500, 0.500, 0.500)
Th (0.000, 0.000, 0.000)
La (0.098, 0.098, 0.706)
La (0.902, 0.902, 0.294)